# Na4PuCo3O8

A geometry-optimized Na4PuCo3O8 structure (PBE+U, the Alexandria database).

The space group is R-3m (No. 166, hexagonal axes) and the conventional cell measures 6.2850, 6.2850 and 16.4057 Å, with angles of 90.00, 90.00 and 120.00 degrees. The inequivalent atoms are Na at (0.0000, 0.0000, 0.0000), Na at (0.0000, 0.5000, 0.0000), Pu at (0.0000, 0.0000, 0.5000), Co at (0.0000, 0.5000, 0.5000), O at (0.0000, 0.0000, 0.2276) and O at (0.0134, 0.5067, 0.2387).

The value obtained for the magnetization is 11.00 μB per formula unit. The calculation puts the total energy at -6.327 eV per atom.